# Ba2SbC

An optimized crystal structure of Ba2SbC (PBE, the Alexandria database).

Energy above the lowest structure with this stoichiometry ... 0.00 eV per formula unit
ΔE_f (raw) ... 0.433 eV per atom
VASP energy ... -61.846 eV for the cell shown
Magnetic moment ... 4.2 μB per cell

```
data_Ba2SbC
_symmetry_space_group_name_H-M 'I -4 2 d'
_symmetry_Int_Tables_number 122
_symmetry_space_group_name_Hall 'I -4 2bw'
_cell_length_a 8.629
_cell_length_b 8.629
_cell_length_c 7.099
_cell_angle_alpha 90.00
_cell_angle_beta 90.00
_cell_angle_gamma 90.00
loop_
_atom_site_label
_atom_site_type_symbol
_atom_site_fract_x
_atom_site_fract_y
_atom_site_fract_z
_atom_site_occupancy
Ba1 Ba 0.175 0.250 0.125 1
Sb1 Sb 0.000 0.000 0.500 1
C1 C 0.000 0.000 0.000 1
```

***

# HfBrCl3

An optimized crystal structure of HfBrCl3 (PBE, the Alexandria database).

Energy above the lowest structure with this stoichiometry ... 12.25 eV per formula unit
ΔE_f (raw) ... 0.801 eV per atom
VASP energy ... -13.159 eV for the cell shown
Magnetic moment ... 2.5 μB per cell

```
data_HfBrCl3
_symmetry_space_group_name_H-M 'P m -3 m'
_symmetry_Int_Tables_number 221
_symmetry_space_group_name_Hall '-P 4 2 3'
_cell_length_a 5.317
_cell_length_b 5.317
_cell_length_c 5.317
_cell_angle_alpha 90.00
_cell_angle_beta 90.00
_cell_angle_gamma 90.00
loop_
_atom_site_label
_atom_site_type_symbol
_atom_site_fract_x
_atom_site_fract_y
_atom_site_fract_z
_atom_site_occupancy
Hf1 Hf 0.000 0.000 0.000 1
Br1 Br 0.500 0.500 0.500 1
Cl1 Cl 0.000 0.500 0.500 1
```